# 1
A plane-wave DFT calculation with PBE was carried out for a relaxed structure of DySnGe2.

- Symmetry: R-3m (166)

Geometry as CIF:
```
data_DySnGe2
_cell_length_a 4.7187
_cell_length_b 4.7187
_cell_length_c 7.6676
_cell_angle_alpha 72.08
_cell_angle_beta 72.08
_cell_angle_gamma 60.00
_symmetry_space_group_name_H-M 'P 1'
_symmetry_Int_Tables_number 1
_symmetry_space_group_name_Hall 'P 1'
loop_
_atom_site_label
_atom_site_type_symbol
_atom_site_fract_x
_atom_site_fract_y
_atom_site_fract_z
Ge1 Ge 0.1190 0.1190 0.6431
Ge2 Ge 0.8810 0.8810 0.3569
Sn1 Sn 0.0000 0.0000 0.0000
Dy1 Dy 0.5000 0.5000 0.5000
```

# 2
A plane-wave DFT calculation with PBE was carried out for a relaxed structure of Dy5SnGe2.

- Symmetry: I4/mcm (140)

Geometry as CIF:
```
data_Dy5SnGe2
_cell_length_a 7.8831
_cell_length_b 7.8831
_cell_length_c 8.7618
_cell_angle_alpha 116.73
_cell_angle_beta 116.73
_cell_angle_gamma 90.00
_symmetry_space_group_name_H-M 'P 1'
_symmetry_Int_Tables_number 1
_symmetry_space_group_name_Hall 'P 1'
loop_
_atom_site_label
_atom_site_type_symbol
_atom_site_fract_x
_atom_site_fract_y
_atom_site_fract_z
Dy1 Dy 0.5152 0.7010 0.7162
Dy2 Dy 0.7990 0.9848 0.2838
Dy3 Dy 0.0000 0.0000 0.0000
Dy4 Dy 0.5000 0.5000 0.0000
Dy5 Dy 0.2010 0.0152 0.7162
Dy6 Dy 0.7010 0.2010 0.7162
Dy7 Dy 0.0152 0.5152 0.7162
Dy8 Dy 0.2990 0.7990 0.2838
Dy9 Dy 0.9848 0.4848 0.2838
Dy10 Dy 0.4848 0.2990 0.2838
Sn1 Sn 0.7500 0.7500 0.5000
Sn2 Sn 0.2500 0.2500 0.5000
Ge1 Ge 0.1460 0.3540 0.0000
Ge2 Ge 0.6460 0.1460 0.0000
Ge3 Ge 0.3540 0.8540 0.0000
Ge4 Ge 0.8540 0.6460 0.0000
```

Number 1: DOS(E_F) 3.1 states/eV/f.u., formation energy from the elements 0.25 eV per atom, total magnetic moment 0.00 μB per formula unit. Number 2: DOS(E_F) 7.9 states/eV/f.u., formation energy from the elements -0.74 eV per atom, total magnetic moment 0.00 μB per formula unit.